{
  "formula": "EuMoO2",
  "functional": "GGA+U",
  "state": "optimized geometry",
  "lattice": [[-7.3894, 1.4454, 1.1286], [-3.6725, -5.8231, -3.2513], [5.6859, -0.1422, 5.0612]],
  "species": ["O", "O", "O", "O", "O", "O", "O", "O", "Eu", "Eu", "Eu", "Eu", "Mo", "Mo", "Mo", "Mo"],
  "frac_coords": [[0.5844, 0.3052, 0.7208], [0.5844, 0.8636, 0.2792], [0.1656, 0.9448, 0.7792], [0.0552, 0.8344, 0.2208], [0.6136, 0.8344, 0.7792], [0.1364, 0.4156, 0.7208], [0.1656, 0.3864, 0.2208], [0.6948, 0.4156, 0.2792], [0.8750, 0.6250, 0.2500], [0.3750, 0.1250, 0.7500], [0.3750, 0.6250, 0.2500], [0.3750, 0.6250, 0.7500], [0.8750, 0.1250, 0.7500], [0.3750, 0.1250, 0.2500], [0.8750, 0.6250, 0.7500], [0.8750, 0.1250, 0.2500]],
  "e_tot_ev_per_cell": -137.51,
  "density_g_cm3": 7.2,
  "e_above_lowest_polymorph_kj_per_mol_atoms": 0.0
}